# PBE-GGA La2NdPaP4, optimized geometry
# - DFT total energy: -57.79 eV/cell
# - Density of states at the Fermi level: 0.62 states/eV per atom
# - Crystal system: monoclinic
# - Mass density: 6.34 g/cm3
data_La2NdPaP4
_chemical_formula_sum 'La2 Nd1 Pa1 P4'
_cell_length_a 7.1812
_cell_length_b 4.1540
_cell_length_c 7.2258
_cell_angle_alpha 90.00
_cell_angle_beta 109.33
_cell_angle_gamma 90.00
_symmetry_space_group_name_H-M 'P 1'
_symmetry_Int_Tables_number 1
loop_
_symmetry_equiv_pos_as_xyz
'x,y,z'
loop_
_atom_site_label
_atom_site_type_symbol
_atom_site_fract_x
_atom_site_fract_y
_atom_site_fract_z
La1 La 0.0000 0.0000 0.0000
La2 La 0.5000 0.5000 0.0000
Nd1 Nd 0.0000 0.5000 0.5000
Pa1 Pa 0.5000 0.0000 0.5000
P1 P 0.2577 0.0000 0.7365
P2 P 0.2655 0.5000 0.2688
P3 P 0.7345 0.5000 0.7312
P4 P 0.7423 0.0000 0.2635

---

# PBE-GGA Ce3TmP4, optimized geometry
# - DFT total energy: -112.10 eV/cell
# - Density of states at the Fermi level: 1.56 states/eV per atom
# - Crystal system: orthorhombic
# - Mass density: 6.28 g/cm3
data_Ce3TmP4
_chemical_formula_sum 'Ce6 Tm2 P8'
_cell_length_a 8.1038
_cell_length_b 11.4653
_cell_length_c 4.0581
_cell_angle_alpha 90.00
_cell_angle_beta 90.00
_cell_angle_gamma 90.00
_symmetry_space_group_name_H-M 'P 1'
_symmetry_Int_Tables_number 1
loop_
_symmetry_equiv_pos_as_xyz
'x,y,z'
loop_
_atom_site_label
_atom_site_type_symbol
_atom_site_fract_x
_atom_site_fract_y
_atom_site_fract_z
Ce1 Ce 0.0000 0.0000 0.0000
Ce2 Ce 0.2500 0.2500 0.5000
Ce3 Ce 0.2500 0.7500 0.5000
Ce4 Ce 0.5000 0.5000 0.0000
Ce5 Ce 0.7500 0.2500 0.5000
Ce6 Ce 0.7500 0.7500 0.5000
Tm1 Tm 0.0000 0.5000 0.0000
Tm2 Tm 0.5000 0.0000 0.0000
P1 P 0.0000 0.2530 0.0000
P2 P 0.0000 0.7470 0.0000
P3 P 0.2448 0.5000 0.5000
P4 P 0.2552 0.0000 0.5000
P5 P 0.5000 0.2470 0.0000
P6 P 0.5000 0.7530 0.0000
P7 P 0.7448 0.0000 0.5000
P8 P 0.7552 0.5000 0.5000

---

# PBE-GGA Ho3Tm4Ga4, optimized geometry
# - DFT total energy: -47.71 eV/cell
# - Density of states at the Fermi level: 0.85 states/eV per atom
# - Crystal system: orthorhombic
# - Mass density: 8.72 g/cm3
data_Ho3Tm4Ga4
_chemical_formula_sum 'Ho3 Tm4 Ga4'
_cell_length_a 9.2902
_cell_length_b 9.2902
_cell_length_c 9.2902
_cell_angle_alpha 149.19
_cell_angle_beta 137.45
_cell_angle_gamma 53.45
_symmetry_space_group_name_H-M 'P 1'
_symmetry_Int_Tables_number 1
loop_
_symmetry_equiv_pos_as_xyz
'x,y,z'
loop_
_atom_site_label
_atom_site_type_symbol
_atom_site_fract_x
_atom_site_fract_y
_atom_site_fract_z
Ho1 Ho 0.0000 0.0000 0.0000
Ho2 Ho 0.4015 0.9015 0.5000
Ho3 Ho 0.5985 0.0985 0.5000
Tm1 Tm 0.0554 0.3219 0.7335
Tm2 Tm 0.4117 0.6781 0.7335
Tm3 Tm 0.5883 0.3219 0.2665
Tm4 Tm 0.9446 0.6781 0.2665
Ga1 Ga 0.1766 0.1766 0.0000
Ga2 Ga 0.2987 0.5000 0.7987
Ga3 Ga 0.7013 0.5000 0.2013
Ga4 Ga 0.8234 0.8234 0.0000

---

# PBE-GGA BaAlBiO2, optimized geometry
# - Density of states at the Fermi level: 0.83 states/eV per atom
# - E_form (uncorrected): 0.040 eV/atom
# - Crystal system: tetragonal
# - Mass density: 4.82 g/cm3
data_BaAlBiO2
_chemical_formula_sum 'Ba1 Al1 Bi1 O2'
_cell_length_a 4.6100
_cell_length_b 4.6100
_cell_length_c 6.5678
_cell_angle_alpha 90.00
_cell_angle_beta 90.00
_cell_angle_gamma 90.00
_symmetry_space_group_name_H-M 'P 1'
_symmetry_Int_Tables_number 1
loop_
_symmetry_equiv_pos_as_xyz
'x,y,z'
loop_
_atom_site_label
_atom_site_type_symbol
_atom_site_fract_x
_atom_site_fract_y
_atom_site_fract_z
Ba1 Ba 0.0000 0.0000 0.0000
Al1 Al 0.5000 0.5000 0.0000
Bi1 Bi 0.0000 0.0000 0.5000
O1 O 0.0000 0.5000 0.5000
O2 O 0.5000 0.0000 0.5000

---

# PBE-GGA SrTa3, optimized geometry
# - DFT total energy: -35.01 eV/cell
# - Density of states at the Fermi level: 1.35 states/eV per atom
# - Crystal system: tetragonal
# - Mass density: 10.99 g/cm3
data_SrTa3
_chemical_formula_sum 'Sr1 Ta3'
_cell_length_a 3.4438
_cell_length_b 3.4438
_cell_length_c 8.0320
_cell_angle_alpha 90.00
_cell_angle_beta 90.00
_cell_angle_gamma 90.00
_symmetry_space_group_name_H-M 'P 1'
_symmetry_Int_Tables_number 1
loop_
_symmetry_equiv_pos_as_xyz
'x,y,z'
loop_
_atom_site_label
_atom_site_type_symbol
_atom_site_fract_x
_atom_site_fract_y
_atom_site_fract_z
Sr1 Sr 0.0000 0.0000 0.0000
Ta1 Ta 0.0000 0.0000 0.5000
Ta2 Ta 0.5000 0.5000 0.3260
Ta3 Ta 0.5000 0.5000 0.6740

---

# PBE-GGA Tl3FeC, optimized geometry
# - DFT total energy: -17.48 eV/cell
# - Density of states at the Fermi level: 1.64 states/eV per atom
# - Crystal system: cubic
# - Mass density: 9.45 g/cm3
data_Tl3FeC
_chemical_formula_sum 'Tl3 Fe1 C1'
_cell_length_a 4.9276
_cell_length_b 4.9276
_cell_length_c 4.9276
_cell_angle_alpha 90.00
_cell_angle_beta 90.00
_cell_angle_gamma 90.00
_symmetry_space_group_name_H-M 'P 1'
_symmetry_Int_Tables_number 1
loop_
_symmetry_equiv_pos_as_xyz
'x,y,z'
loop_
_atom_site_label
_atom_site_type_symbol
_atom_site_fract_x
_atom_site_fract_y
_atom_site_fract_z
Tl1 Tl 0.0000 0.0000 0.5000
Tl2 Tl 0.0000 0.5000 0.0000
Tl3 Tl 0.5000 0.0000 0.0000
Fe1 Fe 0.5000 0.5000 0.5000
C1 C 0.0000 0.0000 0.0000